Here is crystalline PuTlRh at its relaxed geometry from the Alexandria database. Energies are from PBE.

Summary:
Crystal system: cubic
DOS(E_F), states/eV per atom: 4.05
Energy of formation, eV per atom: -0.15
Total energy, eV/atom: -8.17
Energy above the most stable polymorph in this dataset, eV per formula unit: 0.04
Density, g/cm3: 12.3

Lattice parameters (Å, degrees): 4.7271 4.7271 4.7271 60.00 60.00 60.00
With the nearest neighbours (Å) after each atom.
Fractional positions:
Pu 0.0000 0.0000 0.0000  4 Rh 2.89
Rh 0.2500 0.2500 0.2500  4 Tl 2.89, 4 Pu 2.89
Tl 0.5000 0.5000 0.5000  4 Rh 2.89


Here is crystalline KHf2V at its relaxed geometry from the Alexandria database. Energies are from PBE.

Summary:
Crystal system: cubic
DOS(E_F), states/eV per atom: 0.84
Energy of formation, eV per atom: 1.15
Total energy, eV/atom: -6.38
Energy above the most stable polymorph in this dataset, eV per formula unit: 0.00
Density, g/cm3: 8.1

Lattice parameters (Å, degrees): 5.0615 5.0615 5.0615 60.00 60.00 60.00
With the nearest neighbours (Å) after each atom.
Fractional positions:
K 0.0000 0.0000 0.0000  8 Hf 3.10
V 0.5000 0.5000 0.5000  8 Hf 3.10
Hf 0.7500 0.7500 0.7500  4 V 3.10, 4 K 3.10
Hf 0.2500 0.2500 0.2500  4 V 3.10, 4 K 3.10


Here is crystalline TlHgI2 at its relaxed geometry from the Alexandria database. Energies are from PBE.

Summary:
Crystal system: tetragonal
DOS(E_F), states/eV per atom: 0.09
Energy relative to the elements, uncorrected, eV per formula unit: -1.2
Total energy, eV/atom: -1.74
Energy above the most stable polymorph in this dataset, eV per formula unit: 0.47
Density, g/cm3: 5.2

Lattice parameters (Å, degrees): 6.9626 6.9626 10.0097 69.65 69.65 90.00
With the nearest neighbours (Å) after each atom.
Fractional positions:
I 0.1741 0.6250 0.2500  2 Hg 3.12, 2 Tl 3.48
I 0.5759 0.1250 0.2500  2 Hg 3.12, 2 Tl 3.48
I 0.8750 0.8259 0.7500  2 Hg 3.12, 2 Tl 3.48
I 0.3750 0.4241 0.7500  2 Hg 3.12, 2 Tl 3.48
Tl 0.7500 0.2500 0.5000  4 I 3.48
Tl 0.0000 0.0000 0.0000  4 I 3.48
Hg 0.2500 0.7500 0.5000  4 I 3.12
Hg 0.5000 0.5000 0.0000  4 I 3.12


Here is crystalline LaDyNi at its relaxed geometry from the Alexandria database. Energies are from PBE.

Summary:
Crystal system: monoclinic
DOS(E_F), states/eV per atom: 1.02
Energy of formation, eV per atom: -0.21
Total energy, eV/atom: -5.32
Energy above the most stable polymorph in this dataset, eV per formula unit: 0.19
Density, g/cm3: 7.4

Lattice parameters (Å, degrees): 4.6037 5.4978 6.6225 104.10 89.99 90.01
With the nearest neighbours (Å) after each atom.
Fractional positions:
La 0.7522 0.5893 0.2850  4 Ni 2.93-3.09
La 0.2522 0.4183 0.7180  4 Ni 2.93-3.09
Dy 0.7522 0.9478 0.8006  3 Ni 2.76-2.80
Dy 0.2522 0.0596 0.2025  3 Ni 2.76-2.80
Ni 0.2524 0.8732 0.5534  3 Dy 2.76-2.80, 2 Ni 2.88, 3 La 2.93-3.09
Ni 0.7522 0.1349 0.4501  3 Dy 2.76-2.80, 2 Ni 2.88, 4 La 2.93-3.09